RbTi2S4: optimized geometry, PBE.

Cell lengths 6.499, 6.499, 12.723 Å; angles 90.00, 90.00, 147.42 degrees
Atoms (fractional coordinates):
Rb 0.108 0.892 0.750
Rb 0.892 0.108 0.250
Ti 0.369 0.631 0.567
Ti 0.369 0.631 0.933
Ti 0.631 0.369 0.067
Ti 0.631 0.369 0.433
S 0.000 0.000 0.000
S 0.000 0.000 0.500
S 0.260 0.740 0.096
S 0.260 0.740 0.404
S 0.402 0.598 0.750
S 0.598 0.402 0.250
S 0.740 0.260 0.596
S 0.740 0.260 0.904

Calculated values
DOS(E_F) (states/eV/cell): 8.0
Symmetry: Cmcm, No. 63
Final energy (eV per cell): -83.59
Uncorrected formation energy (meV/atom): -1218

***

Rb2TiS: optimized geometry, PBE.

Cell lengths 13.017, 13.017, 4.706 Å; angles 90.00, 90.00, 90.00 degrees
Atoms (fractional coordinates):
Rb 0.073 0.250 0.125
Rb 0.250 0.573 0.375
Rb 0.250 0.927 0.875
Rb 0.427 0.250 0.625
Rb 0.573 0.750 0.625
Rb 0.750 0.073 0.875
Rb 0.750 0.427 0.375
Rb 0.927 0.750 0.125
Ti 0.000 0.000 0.500
Ti 0.000 0.500 0.750
Ti 0.500 0.000 0.250
Ti 0.500 0.500 0.000
S 0.000 0.000 0.000
S 0.000 0.500 0.250
S 0.500 0.000 0.750
S 0.500 0.500 0.500

Calculated values
DOS(E_F) (states/eV/cell): 22.4
Symmetry: I-42d, No. 122
Final energy (eV per cell): -58.74
Uncorrected formation energy (meV/atom): -182

***

RbTiS3: optimized geometry, PBE.

Cell lengths 4.833, 4.833, 4.833 Å; angles 90.00, 90.00, 90.00 degrees
Atoms (fractional coordinates):
Rb 0.000 0.000 0.000
Ti 0.500 0.500 0.500
S 0.000 0.500 0.500
S 0.500 0.000 0.500
S 0.500 0.500 0.000

Calculated values
DOS(E_F) (states/eV/cell): 2.4
E above lowest polymorph (eV/f.u.): 0.548
Symmetry: Pm-3m, No. 221
Final energy (eV per cell): -26.22
Uncorrected formation energy (meV/atom): -995

***

Rb2TiS4: optimized geometry, PBE.

Cell lengths 10.710, 12.609, 3.683 Å; angles 90.00, 90.00, 90.00 degrees
Atoms (fractional coordinates):
Rb 0.250 0.250 0.000
Rb 0.250 0.750 0.000
Rb 0.750 0.250 0.000
Rb 0.750 0.750 0.000
Ti 0.000 0.000 0.500
Ti 0.500 0.500 0.500
S 0.000 0.187 0.500
S 0.000 0.813 0.500
S 0.154 0.000 0.000
S 0.346 0.500 0.000
S 0.500 0.313 0.500
S 0.500 0.687 0.500
S 0.654 0.500 0.000
S 0.846 0.000 0.000

Calculated values
DOS(E_F) (states/eV/cell): 9.2
Symmetry: Cmmm, No. 65
Final energy (eV per cell): -64.34
Uncorrected formation energy (meV/atom): -833

***

Rb4TiS4: optimized geometry, PBE.

Cell lengths 8.612, 8.612, 8.612 Å; angles 126.14, 126.14, 79.66 degrees
Atoms (fractional coordinates):
Rb 0.000 0.500 0.500
Rb 0.203 0.203 0.000
Rb 0.500 0.000 0.500
Rb 0.797 0.797 0.000
Ti 0.500 0.500 0.000
S 0.229 0.569 0.000
S 0.431 0.431 0.661
S 0.569 0.229 0.000
S 0.771 0.771 0.339

Calculated values
DOS(E_F) (states/eV/cell): 0.0
E above lowest polymorph (eV/f.u.): 0.727
Symmetry: I-42m, No. 121
Final energy (eV per cell): -39.40
Uncorrected formation energy (meV/atom): -1236

***

Rb3TiS3: optimized geometry, PBE.

Cell lengths 8.132, 13.391, 10.556 Å; angles 90.00, 127.59, 90.00 degrees
Atoms (fractional coordinates):
Rb 0.098 0.142 0.477
Rb 0.098 0.358 0.977
Rb 0.142 0.067 0.892
Rb 0.142 0.433 0.392
Rb 0.369 0.694 0.582
Rb 0.369 0.806 0.082
Rb 0.631 0.194 0.918
Rb 0.631 0.306 0.418
Rb 0.858 0.567 0.608
Rb 0.858 0.933 0.108
Rb 0.902 0.642 0.023
Rb 0.902 0.858 0.523
Ti 0.442 0.051 0.354
Ti 0.442 0.449 0.854
Ti 0.558 0.551 0.146
Ti 0.558 0.949 0.646
S 0.154 0.155 0.195
S 0.154 0.345 0.695
S 0.352 0.611 0.881
S 0.352 0.889 0.381
S 0.375 0.539 0.249
S 0.375 0.961 0.749
S 0.625 0.039 0.251
S 0.625 0.461 0.751
S 0.648 0.111 0.619
S 0.648 0.389 0.119
S 0.846 0.655 0.305
S 0.846 0.845 0.805

Calculated values
E above lowest polymorph (eV/f.u.): 0.029
Symmetry: P2_1/c, No. 14
Final energy (eV per cell): -128.30
Uncorrected formation energy (meV/atom): -1271

***

RbTi3S6: optimized geometry, PBE.

Cell lengths 11.556, 3.451, 12.132 Å; angles 90.00, 112.23, 90.00 degrees
Atoms (fractional coordinates):
Rb 0.139 0.250 0.384
Rb 0.861 0.750 0.616
Ti 0.139 0.250 0.025
Ti 0.269 0.750 0.753
Ti 0.495 0.750 0.274
Ti 0.505 0.250 0.726
Ti 0.731 0.250 0.247
Ti 0.861 0.750 0.975
S 0.067 0.750 0.129
S 0.129 0.250 0.655
S 0.211 0.750 0.929
S 0.338 0.250 0.220
S 0.370 0.750 0.600
S 0.428 0.250 0.869
S 0.572 0.750 0.131
S 0.630 0.250 0.400
S 0.662 0.750 0.780
S 0.789 0.250 0.071
S 0.871 0.750 0.345
S 0.933 0.250 0.871

Calculated values
DOS(E_F) (states/eV/cell): 9.5
Symmetry: P2_1/m, No. 11
Final energy (eV per cell): -124.94
Uncorrected formation energy (meV/atom): -1305

***

Rb3Ti5S12: optimized geometry, PBE.

Cell lengths 13.856, 13.856, 13.856 Å; angles 109.47, 109.47, 109.47 degrees
Atoms (fractional coordinates):
Rb 0.125 0.250 0.375
Rb 0.125 0.375 0.750
Rb 0.250 0.375 0.125
Rb 0.250 0.875 0.625
Rb 0.375 0.125 0.250
Rb 0.375 0.750 0.125
Rb 0.625 0.250 0.875
Rb 0.625 0.875 0.750
Rb 0.750 0.125 0.375
Rb 0.750 0.625 0.875
Rb 0.875 0.625 0.250
Rb 0.875 0.750 0.625
Ti 0.000 0.000 0.000
Ti 0.000 0.000 0.500
Ti 0.000 0.500 0.000
Ti 0.000 0.500 0.500
Ti 0.125 0.750 0.875
Ti 0.125 0.875 0.250
Ti 0.250 0.125 0.875
Ti 0.250 0.625 0.375
Ti 0.375 0.250 0.625
Ti 0.375 0.625 0.750
Ti 0.500 0.000 0.000
Ti 0.500 0.000 0.500
Ti 0.500 0.500 0.000
Ti 0.500 0.500 0.500
Ti 0.625 0.375 0.250
Ti 0.625 0.750 0.375
Ti 0.750 0.375 0.625
Ti 0.750 0.875 0.125
Ti 0.875 0.125 0.750
Ti 0.875 0.250 0.125
S 0.000 0.183 0.101
S 0.000 0.316 0.899
S 0.000 0.684 0.101
S 0.000 0.817 0.899
S 0.083 0.683 0.684
S 0.083 0.899 0.399
S 0.101 0.000 0.183
S 0.101 0.000 0.684
S 0.101 0.601 0.417
S 0.101 0.601 0.917
S 0.183 0.101 0.000
S 0.183 0.583 0.184
S 0.184 0.183 0.583
S 0.184 0.500 0.601
S 0.316 0.899 0.000
S 0.316 0.917 0.317
S 0.317 0.316 0.917
S 0.317 0.500 0.399
S 0.399 0.083 0.899
S 0.399 0.317 0.500
S 0.399 0.583 0.899
S 0.399 0.816 0.500
S 0.417 0.101 0.601
S 0.417 0.816 0.817
S 0.500 0.399 0.317
S 0.500 0.399 0.816
S 0.500 0.601 0.184
S 0.500 0.601 0.683
S 0.583 0.184 0.183
S 0.583 0.899 0.399
S 0.601 0.184 0.500
S 0.601 0.417 0.101
S 0.601 0.683 0.500
S 0.601 0.917 0.101
S 0.683 0.500 0.601
S 0.683 0.684 0.083
S 0.684 0.083 0.683
S 0.684 0.101 0.000
S 0.816 0.500 0.399
S 0.816 0.817 0.417
S 0.817 0.417 0.816
S 0.817 0.899 0.000
S 0.899 0.000 0.316
S 0.899 0.000 0.817
S 0.899 0.399 0.083
S 0.899 0.399 0.583
S 0.917 0.101 0.601
S 0.917 0.317 0.316

Calculated values
DOS(E_F) (states/eV/cell): 65.1
Symmetry: Ia-3d, No. 230
Final energy (eV per cell): -454.91
Uncorrected formation energy (meV/atom): -1091